1.
Entry from Alexandria via LeMat-Bulk: a geometry-optimized Tb2DyScAs4 structure (PBE-GGA).

Lattice parameters (Å, degrees): 7.0516 4.0775 7.0533 90.00 109.49 90.00
Positions (direct):
Tb1 0.0000 0.0000 0.0000
Tb2 0.0000 0.5000 0.5000
Dy1 0.5000 0.0000 0.5000
Sc1 0.5000 0.5000 0.0000
As1 0.2560 0.5000 0.2457
As2 0.2608 0.0000 0.7600
As3 0.7392 0.0000 0.2400
As4 0.7440 0.5000 0.7543

Computed properties:
- symmetry = P2/m
- DFT total energy (eV per atom) = -6.331

---

2.
Entry from Alexandria via LeMat-Bulk: a geometry-optimized Ti5Mn7 structure (PBE-GGA).

Lattice parameters (Å, degrees): 4.8046 4.8046 7.8941 90.00 90.00 120.00
Positions (direct):
Ti1 0.0000 0.0000 0.0000
Ti2 0.3333 0.6667 0.5593
Ti3 0.3333 0.6667 0.9296
Ti4 0.6667 0.3333 0.0704
Ti5 0.6667 0.3333 0.4407
Mn1 0.0000 0.0000 0.5000
Mn2 0.1732 0.3464 0.2572
Mn3 0.1732 0.8268 0.2572
Mn4 0.3464 0.1732 0.7428
Mn5 0.6536 0.8268 0.2572
Mn6 0.8268 0.1732 0.7428
Mn7 0.8268 0.6536 0.7428

Computed properties:
- symmetry = P-3m1
- DFT total energy (eV per atom) = -8.875

---

3.
Entry from Alexandria via LeMat-Bulk: a geometry-optimized Mg2TaTc structure (PBE-GGA).

Lattice parameters (Å, degrees): 2.7686 4.7168 5.4491 90.00 102.56 90.00
Positions (direct):
Mg1 0.0633 0.0000 0.2601
Mg2 0.9367 0.0000 0.7399
Ta1 0.5000 0.5000 0.0000
Tc1 0.5000 0.5000 0.5000

Computed properties:
- symmetry = P2/m
- energy relative to the lowest polymorph listed for this composition (meV/atom) = 201